Material: Sm2In2SnRh5
Method: DFT, GGA-PBE
State: optimized geometry

The structure in POSCAR format:
```
Sm2In2SnRh5
1.0
10.223 0.000 0.000
0.000 10.223 0.000
0.000 0.000 3.729
Sm In Sn Rh
4 4 2 10
Direct
0.170 0.330 0.000
0.330 0.830 0.000
0.670 0.170 0.000
0.830 0.670 0.000
0.128 0.628 0.000
0.372 0.128 0.000
0.628 0.872 0.000
0.872 0.372 0.000
0.000 0.000 0.000
0.500 0.500 0.000
0.000 0.500 0.500
0.062 0.803 0.500
0.197 0.062 0.500
0.303 0.562 0.500
0.438 0.303 0.500
0.500 0.000 0.500
0.562 0.697 0.500
0.697 0.438 0.500
0.803 0.938 0.500
0.938 0.197 0.500
```

Output
Its symmetry is P4/mbm, No. 127. Its total magnetization is 0.0 μB/f.u. For the formation energy, the calculation gives -0.512 eV/atom.


Material: Sm2Ta2InRh5
Method: DFT, GGA-PBE
State: optimized geometry

The structure in POSCAR format:
```
Sm2Ta2InRh5
1.0
10.902 0.000 0.000
0.000 10.902 0.000
0.000 0.000 3.251
Sm Ta In Rh
4 4 2 10
Direct
0.172 0.328 0.000
0.328 0.828 0.000
0.672 0.172 0.000
0.828 0.672 0.000
0.135 0.635 0.000
0.365 0.135 0.000
0.635 0.865 0.000
0.865 0.365 0.000
0.000 0.000 0.000
0.500 0.500 0.000
0.000 0.500 0.500
0.053 0.798 0.500
0.202 0.053 0.500
0.298 0.553 0.500
0.447 0.298 0.500
0.500 0.000 0.500
0.553 0.702 0.500
0.702 0.447 0.500
0.798 0.947 0.500
0.947 0.202 0.500
```

Output
Its symmetry is P4/mbm, No. 127. Its total magnetization is 0.0 μB/f.u. For the formation energy, the calculation gives -0.384 eV/atom.


Material: TbSmInRh
Method: DFT, GGA-PBE
State: optimized geometry

The structure in POSCAR format:
```
TbSmInRh
1.0
7.299 0.000 0.000
0.000 7.299 0.000
0.000 0.000 7.299
Tb Sm In Rh
4 4 4 4
Direct
0.000 0.000 0.000
0.000 0.500 0.500
0.500 0.000 0.500
0.500 0.500 0.000
0.000 0.000 0.500
0.000 0.500 0.000
0.500 0.000 0.000
0.500 0.500 0.500
0.250 0.250 0.750
0.250 0.750 0.250
0.750 0.250 0.250
0.750 0.750 0.750
0.250 0.250 0.250
0.250 0.750 0.750
0.750 0.250 0.750
0.750 0.750 0.250
```

Output
Its symmetry is F-43m, No. 216. Its total magnetization is 0.0 μB/f.u. For the formation energy, the calculation gives -0.511 eV/atom.


Material: Sm4Tl2InRh
Method: DFT, GGA-PBE
State: optimized geometry

The structure in POSCAR format:
```
Sm4Tl2InRh
1.0
2.686 1.551 8.600
-2.686 1.551 8.600
0.000 -3.101 8.600
Sm Tl In Rh
4 2 1 1
Direct
0.113 0.113 0.113
0.367 0.367 0.367
0.633 0.633 0.633
0.887 0.887 0.887
0.243 0.243 0.243
0.757 0.757 0.757
0.500 0.500 0.500
0.000 0.000 0.000
```

Output
Its symmetry is R-3m, No. 166. Its total magnetization is 0.0 μB/f.u. For the formation energy, the calculation gives -0.444 eV/atom.


Material: SmTm2InRh4
Method: DFT, GGA-PBE
State: optimized geometry

The structure in POSCAR format:
```
SmTm2InRh4
1.0
2.385 1.377 7.770
-2.385 1.377 7.770
0.000 -2.754 7.770
Sm Tm In Rh
1 2 1 4
Direct
0.000 0.000 0.000
0.244 0.244 0.244
0.756 0.756 0.756
0.500 0.500 0.500
0.125 0.125 0.125
0.377 0.377 0.377
0.623 0.623 0.623
0.875 0.875 0.875
```

Output
Its symmetry is R-3m, No. 166. Its total magnetization is 0.0 μB/f.u. For the formation energy, the calculation gives -0.804 eV/atom.


Material: Sm2TmIn2Rh5
Method: DFT, GGA-PBE
State: optimized geometry

The structure in POSCAR format:
```
Sm2TmIn2Rh5
1.0
10.398 0.000 0.000
0.000 10.398 0.000
0.000 0.000 3.716
Sm Tm In Rh
4 2 4 10
Direct
0.170 0.330 0.000
0.330 0.830 0.000
0.670 0.170 0.000
0.830 0.670 0.000
0.000 0.000 0.000
0.500 0.500 0.000
0.128 0.628 0.000
0.372 0.128 0.000
0.628 0.872 0.000
0.872 0.372 0.000
0.000 0.500 0.500
0.062 0.799 0.500
0.201 0.062 0.500
0.299 0.562 0.500
0.438 0.299 0.500
0.500 0.000 0.500
0.562 0.701 0.500
0.701 0.438 0.500
0.799 0.938 0.500
0.938 0.201 0.500
```

Output
Its symmetry is P4/mbm, No. 127. Its total magnetization is 0.0 μB/f.u. For the formation energy, the calculation gives -0.546 eV/atom.


Q: Which formula does entry 6 have?
A: Sm2TmIn2Rh5